Entry 1:
# DySbN2O, optimized geometry, DFT GGA-PBE
data_DySbN2O
_space_group_name_H-M_alt 'P 1 21/c 1'
_space_group_IT_number 14
_space_group_name_Hall '-P 2ybc'
_cell_length_a 8.058
_cell_length_b 7.788
_cell_length_c 11.244
_cell_angle_alpha 90.00
_cell_angle_beta 133.90
_cell_angle_gamma 90.00
loop_
_atom_site_label
_atom_site_type_symbol
_atom_site_fract_x
_atom_site_fract_y
_atom_site_fract_z
_atom_site_occupancy
Dy1 Dy 0.159 0.012 0.220 1
Dy2 Dy 0.230 0.504 0.239 1
Sb1 Sb 0.284 0.249 0.024 1
Sb2 Sb 0.288 0.740 0.013 1
N1 N 0.165 0.005 0.475 1
N2 N 0.266 0.505 0.468 1
N3 N 0.401 0.229 0.253 1
N4 N 0.405 0.710 0.899 1
O1 O 0.048 0.698 0.536 1
O2 O 0.051 0.236 0.758 1
# magnetic moment = 0.00 μB/f.u.
# mass density = 8.6 g/cm³
# electronic total energy = -35.05 eV per formula unit

Entry 2:
# LuThMo, optimized geometry, DFT GGA-PBE
data_LuThMo
_space_group_name_H-M_alt 'F -4 3 m'
_space_group_IT_number 216
_space_group_name_Hall 'F -4 2 3'
_cell_length_a 6.885
_cell_length_b 6.885
_cell_length_c 6.885
_cell_angle_alpha 90.00
_cell_angle_beta 90.00
_cell_angle_gamma 90.00
loop_
_atom_site_label
_atom_site_type_symbol
_atom_site_fract_x
_atom_site_fract_y
_atom_site_fract_z
_atom_site_occupancy
Lu1 Lu 0.000 0.000 0.000 1
Th1 Th 0.000 0.000 0.500 1
Mo1 Mo 0.250 0.250 0.250 1
# magnetic moment = 0.00 μB/f.u.
# ΔH_f (0 K) = 0.39 eV/atom
# mass density = 10.2 g/cm³
# polymorph energy (0 for the lowest one) = 0 meV/atom

Entry 3:
# Dy2TlFeCu, optimized geometry, DFT GGA-PBE
data_Dy2TlFeCu
_space_group_name_H-M_alt 'A m m 2'
_space_group_IT_number 38
_space_group_name_Hall 'A 2 -2'
_cell_length_a 3.723
_cell_length_b 4.003
_cell_length_c 14.341
_cell_angle_alpha 90.00
_cell_angle_beta 90.00
_cell_angle_gamma 90.00
loop_
_atom_site_label
_atom_site_type_symbol
_atom_site_fract_x
_atom_site_fract_y
_atom_site_fract_z
_atom_site_occupancy
Dy1 Dy 0.000 0.000 0.000 1
Dy2 Dy 0.000 0.000 0.275 1
Tl1 Tl 0.500 0.000 0.641 1
Fe1 Fe 0.500 0.000 0.841 1
Cu1 Cu 0.500 0.000 0.437 1
# magnetic moment = 1.28 μB/f.u.
# mass density = 10.1 g/cm³
# electronic total energy = -24.49 eV per formula unit

Entry 4:
# YTmTlTe3, optimized geometry, DFT GGA-PBE
data_YTmTlTe3
_space_group_name_H-M_alt 'C 1 2/m 1'
_space_group_IT_number 12
_space_group_name_Hall '-C 2y'
_cell_length_a 18.905
_cell_length_b 4.349
_cell_length_c 10.046
_cell_angle_alpha 90.00
_cell_angle_beta 103.40
_cell_angle_gamma 90.00
loop_
_atom_site_label
_atom_site_type_symbol
_atom_site_fract_x
_atom_site_fract_y
_atom_site_fract_z
_atom_site_occupancy
Y1 Y 0.170 0.000 0.073 1
Tm1 Tm 0.002 0.500 0.209 1
Tl1 Tl 0.144 0.000 0.553 1
Te1 Te 0.000 0.000 0.000 1
Te2 Te 0.000 0.500 0.500 1
Te3 Te 0.164 0.500 0.849 1
Te4 Te 0.166 0.500 0.289 1
# magnetic moment = 0.01 μB/f.u.
# mass density = 7.0 g/cm³
# polymorph energy (0 for the lowest one) = 0 meV/atom

Entry 5:
# LiScOsW, optimized geometry, DFT GGA-PBE
data_LiScOsW
_space_group_name_H-M_alt 'F -4 3 m'
_space_group_IT_number 216
_space_group_name_Hall 'F -4 2 3'
_cell_length_a 6.257
_cell_length_b 6.257
_cell_length_c 6.257
_cell_angle_alpha 90.00
_cell_angle_beta 90.00
_cell_angle_gamma 90.00
loop_
_atom_site_label
_atom_site_type_symbol
_atom_site_fract_x
_atom_site_fract_y
_atom_site_fract_z
_atom_site_occupancy
Li1 Li 0.000 0.000 0.000 1
Sc1 Sc 0.250 0.250 0.750 1
Os1 Os 0.250 0.250 0.250 1
W1 W 0.000 0.000 0.500 1
# magnetic moment = 0.00 μB/f.u.
# mass density = 11.6 g/cm³
# polymorph energy (0 for the lowest one) = 66 meV/atom

Entry 6:
# HoTlSe2O8, optimized geometry, DFT GGA-PBE
data_HoTlSe2O8
_space_group_name_H-M_alt 'P -3 m 1'
_space_group_IT_number 164
_space_group_name_Hall '-P 3 2"'
_cell_length_a 5.6723
_cell_length_b 5.6723
_cell_length_c 7.4856
_cell_angle_alpha 90.00
_cell_angle_beta 90.00
_cell_angle_gamma 120.00
loop_
_atom_site_label
_atom_site_type_symbol
_atom_site_fract_x
_atom_site_fract_y
_atom_site_fract_z
_atom_site_occupancy
Ho1 Ho 0.0000 0.0000 0.0000 1
Tl1 Tl 0.0000 0.0000 0.5000 1
Se1 Se 0.3333 0.6667 0.7367 1
O1 O 0.1755 0.3510 0.8189 1
O2 O 0.3333 0.6667 0.5179 1
# magnetic moment = 0.00 μB/f.u.
# mass density = 5.2 g/cm³
# electronic total energy = -69.80 eV per formula unit

Entry 7:
# HoTm2Mg3CdIn2, optimized geometry, DFT GGA-PBE
data_HoTm2Mg3CdIn2
_space_group_name_H-M_alt 'A m m 2'
_space_group_IT_number 38
_space_group_name_Hall 'A 2 -2'
_cell_length_a 4.604
_cell_length_b 12.991
_cell_length_c 7.474
_cell_angle_alpha 90.00
_cell_angle_beta 90.00
_cell_angle_gamma 90.00
loop_
_atom_site_label
_atom_site_type_symbol
_atom_site_fract_x
_atom_site_fract_y
_atom_site_fract_z
_atom_site_occupancy
Ho1 Ho 0.000 0.000 0.000 1
Tm1 Tm 0.000 0.214 0.643 1
Mg1 Mg 0.500 0.000 0.670 1
Mg2 Mg 0.500 0.120 0.309 1
Cd1 Cd 0.000 0.000 0.431 1
In1 In 0.500 0.167 0.928 1
# magnetic moment = 0.00 μB/f.u.
# mass density = 6.8 g/cm³
# electronic total energy = -27.61 eV per formula unit

Entry 8:
# LiMg2Ir, optimized geometry, DFT GGA-PBE
data_LiMg2Ir
_space_group_name_H-M_alt 'F m -3 m'
_space_group_IT_number 225
_space_group_name_Hall '-F 4 2 3'
_cell_length_a 6.340
_cell_length_b 6.340
_cell_length_c 6.340
_cell_angle_alpha 90.00
_cell_angle_beta 90.00
_cell_angle_gamma 90.00
loop_
_atom_site_label
_atom_site_type_symbol
_atom_site_fract_x
_atom_site_fract_y
_atom_site_fract_z
_atom_site_occupancy
Li1 Li 0.000 0.000 0.000 1
Mg1 Mg 0.250 0.250 0.250 1
Ir1 Ir 0.000 0.000 0.500 1
# magnetic moment = 0.00 μB/f.u.
# mass density = 6.5 g/cm³
# electronic total energy = -15.27 eV per formula unit

Entry 9:
# La2Sm2Se3O4, optimized geometry, DFT GGA-PBE
data_La2Sm2Se3O4
_space_group_name_H-M_alt 'A m m 2'
_space_group_IT_number 38
_space_group_name_Hall 'A 2 -2'
_cell_length_a 8.409
_cell_length_b 4.014
_cell_length_c 12.947
_cell_angle_alpha 90.00
_cell_angle_beta 90.00
_cell_angle_gamma 90.00
loop_
_atom_site_label
_atom_site_type_symbol
_atom_site_fract_x
_atom_site_fract_y
_atom_site_fract_z
_atom_site_occupancy
La1 La 0.000 0.000 0.000 1
La2 La 0.500 0.000 0.018 1
Sm1 Sm 0.237 0.000 0.685 1
Se1 Se 0.000 0.000 0.310 1
Se2 Se 0.348 0.000 0.354 1
O1 O 0.000 0.000 0.591 1
O2 O 0.244 0.000 0.092 1
O3 O 0.500 0.000 0.620 1
# magnetic moment = 0.00 μB/f.u.
# mass density = 6.7 g/cm³
# electronic total energy = -80.64 eV per formula unit

Entry 10:
# Be2Au, optimized geometry, DFT GGA-PBE
data_Be2Au
_space_group_name_H-M_alt 'I m m a'
_space_group_IT_number 74
_space_group_name_Hall '-I 2b 2'
_cell_length_a 3.876
_cell_length_b 5.337
_cell_length_c 6.762
_cell_angle_alpha 90.00
_cell_angle_beta 90.00
_cell_angle_gamma 90.00
loop_
_atom_site_label
_atom_site_type_symbol
_atom_site_fract_x
_atom_site_fract_y
_atom_site_fract_z
_atom_site_occupancy
Be1 Be 0.000 0.011 0.166 1
Au1 Au 0.000 0.250 0.521 1
# mass density = 10.2 g/cm³
# electronic total energy = -10.54 eV per formula unit

Entry 11:
# NbFeSnAu, optimized geometry, DFT GGA-PBE
data_NbFeSnAu
_space_group_name_H-M_alt 'F -4 3 m'
_space_group_IT_number 216
_space_group_name_Hall 'F -4 2 3'
_cell_length_a 6.536
_cell_length_b 6.536
_cell_length_c 6.536
_cell_angle_alpha 90.00
_cell_angle_beta 90.00
_cell_angle_gamma 90.00
loop_
_atom_site_label
_atom_site_type_symbol
_atom_site_fract_x
_atom_site_fract_y
_atom_site_fract_z
_atom_site_occupancy
Nb1 Nb 0.000 0.000 0.000 1
Fe1 Fe 0.000 0.000 0.500 1
Sn1 Sn 0.250 0.250 0.250 1
Au1 Au 0.250 0.250 0.750 1
# magnetic moment = 1.71 μB/f.u.
# mass density = 11.0 g/cm³
# polymorph energy (0 for the lowest one) = 5 meV/atom

Entry 12:
# LuNiSbW, optimized geometry, DFT GGA-PBE
data_LuNiSbW
_space_group_name_H-M_alt 'F -4 3 m'
_space_group_IT_number 216
_space_group_name_Hall 'F -4 2 3'
_cell_length_a 6.683
_cell_length_b 6.683
_cell_length_c 6.683
_cell_angle_alpha 90.00
_cell_angle_beta 90.00
_cell_angle_gamma 90.00
loop_
_atom_site_label
_atom_site_type_symbol
_atom_site_fract_x
_atom_site_fract_y
_atom_site_fract_z
_atom_site_occupancy
Lu1 Lu 0.000 0.000 0.000 1
Ni1 Ni 0.000 0.000 0.500 1
Sb1 Sb 0.250 0.250 0.250 1
W1 W 0.250 0.250 0.750 1
# magnetic moment = 1.68 μB/f.u.
# mass density = 12.0 g/cm³
# electronic total energy = -24.65 eV per formula unit